First-principles (PBE) data for a geometry-optimized AgOsSO structure, as listed in the Open Quantum Materials Database.

Properties
- E above lowest polymorph (eV per atom) = 0.070
- space-group type = Pca2_1
- total moment (μB per cell) = 0.0

Lattice parameters (Å, degrees): 6.2425 7.4483 5.2736 90.00 90.00 90.00
Element x y z (fractional)
Ag (0.1744, 0.1348, 0.2093)
Ag (0.6744, 0.8652, 0.2093)
Ag (0.3256, 0.1348, 0.7093)
Ag (0.8256, 0.8652, 0.7093)
O (0.8034, 0.1492, 0.3082)
O (0.3034, 0.8508, 0.3082)
O (0.6966, 0.1492, 0.8082)
O (0.1966, 0.8508, 0.8082)
Os (0.8046, 0.3450, 0.0425)
Os (0.3046, 0.6550, 0.0425)
Os (0.6954, 0.3450, 0.5425)
Os (0.1954, 0.6550, 0.5425)
S (0.4515, 0.3859, 0.1900)
S (0.9515, 0.6141, 0.1900)
S (0.0485, 0.3859, 0.6900)
S (0.5485, 0.6141, 0.6900)